DFT (PBE) results for a relaxed structure of CoRe4Os.

Cell: 7.192 7.192 7.192 Å, 90.00 90.00 90.00°
Space group F-43m (No. 216)
Unique sites:
Co1 0.000 0.000 0.000 x4
Re1 0.126 0.126 0.374 x16
Os1 0.250 0.250 0.750 x4

## Properties
Formation enthalpy at 0 K, eV/f.u.: 3.63
Total magnetic moment, μB/atom: 0.2509
V, A^3/atom: 15.50
E_tot, eV per atom: -10.749